VMo2Pb (PBE, relaxed); energy relative to the elements = 933 meV/atom; SG = I-42d, No. 122
1.0
-1.947 1.947 9.918
1.947 -1.947 9.918
1.947 1.947 -9.918
V Mo Pb
2 4 2
direct
0.000 0.000 0.000
0.750 0.250 0.500
0.094 0.625 0.969
0.375 0.344 0.469
0.656 0.125 0.031
0.875 0.906 0.531
0.250 0.750 0.500
0.500 0.500 0.000

=====

Ba2CaTc (PBE, relaxed); energy relative to the elements = 616 meV/atom; ΔE to the lowest computed polymorph = 16 meV/atom; SG = Amm2, No. 38
1.0
3.819 0.000 0.000
0.000 2.398 8.859
0.000 -2.398 8.859
Ba Ca Tc
2 1 1
direct
0.000 0.000 0.000
0.500 0.305 0.305
0.000 0.663 0.663
0.500 0.145 0.145

=====

Ca2IrBr (PBE, relaxed); ΔE to the lowest computed polymorph = 127 meV/atom; SG = Imm2, No. 44
1.0
-1.787 1.899 7.734
1.787 -1.899 7.734
1.787 1.899 -7.734
Ca Ir Br
2 1 1
direct
0.000 0.000 0.000
0.788 0.288 0.500
0.417 0.417 0.000
0.173 0.673 0.500

=====

SbRuAu2 (PBE, relaxed); final energy = -18.95 eV for the cell shown; SG = R3m, No. 160
1.0
1.605 0.927 8.513
-1.605 0.927 8.513
0.000 -1.853 8.513
Sb Ru Au
1 1 2
direct
0.000 0.000 0.000
0.739 0.739 0.739
0.241 0.241 0.241
0.489 0.489 0.489

=====

Hg2MoCl (PBE, relaxed); ΔE to the lowest computed polymorph = 287 meV/atom; SG = P4/mmm, No. 123
1.0
3.107 0.000 0.000
0.000 3.107 0.000
0.000 0.000 8.447
Hg Mo Cl
2 1 1
direct
0.000 0.000 0.234
0.000 0.000 0.766
0.500 0.500 0.000
0.500 0.500 0.500

=====

LiTbInGe (PBE, relaxed); energy relative to the elements = -362 meV/atom; SG = F-43m, No. 216
1.0
0.000 3.541 3.541
3.541 0.000 3.541
3.541 3.541 0.000
Li Tb In Ge
1 1 1 1
direct
0.000 0.000 0.000
0.500 0.500 0.500
0.250 0.250 0.250
0.750 0.750 0.750

=====

La6Nd2Hg (PBE, relaxed); energy relative to the elements = -100 meV/atom; ΔE to the lowest computed polymorph = 0 meV/atom; SG = Amm2, No. 38
1.0
3.793 0.000 0.000
0.000 8.525 4.926
0.000 -8.525 4.926
La Nd Hg
6 2 1
direct
0.000 0.000 0.000
0.000 0.454 0.727
0.000 0.727 0.454
0.500 0.102 0.727
0.500 0.351 0.351
0.500 0.727 0.102
0.000 0.060 0.393
0.000 0.393 0.060
0.500 0.727 0.727

=====

FePt4Rh6 (PBE, relaxed); energy relative to the elements = 190 meV/atom; SG = Cmcm, No. 63
1.0
2.310 -3.566 0.000
2.310 3.566 0.000
0.000 0.000 20.413
Fe Pt Rh
2 8 12
direct
0.244 0.756 0.750
0.756 0.244 0.250
0.070 0.930 0.127
0.070 0.930 0.373
0.362 0.638 0.044
0.362 0.638 0.456
0.638 0.362 0.544
0.638 0.362 0.956
0.930 0.070 0.627
0.930 0.070 0.873
0.000 0.000 0.000
0.000 0.000 0.500
0.108 0.892 0.250
0.283 0.717 0.594
0.283 0.717 0.906
0.435 0.565 0.184
0.435 0.565 0.316
0.565 0.435 0.684
0.565 0.435 0.816
0.717 0.283 0.094
0.717 0.283 0.406
0.892 0.108 0.750